# Ca2CoN GGA-PBEsol optimized geometry
# E_tot (eV per atom): -4.8610
# Spin magnetization (Bohr magnetons per cell): 8.03
# Density (g cm⁻³): 3.1
data_Ca2CoN
_chemical_formula_sum 'Ca8 Co4 N4'
_space_group_name_H-M_alt 'I -4 2 d'
_space_group_IT_number 122
_space_group_name_Hall 'I -4 2bw'
_cell_length_a 6.9244
_cell_length_b 6.9244
_cell_length_c 6.8612
_cell_angle_alpha 90.00
_cell_angle_beta 90.00
_cell_angle_gamma 90.00
loop_
_atom_site_label
_atom_site_type_symbol
_atom_site_fract_x
_atom_site_fract_y
_atom_site_fract_z
Ca1 Ca 0.1706 0.7500 0.1250
Co1 Co 0.0000 0.0000 0.5000
N1 N 0.0000 0.0000 0.0000

=====

# ScCu2Ni GGA-PBEsol optimized geometry
# E_tot (eV per atom): -5.6042
# Energy relative to the elements (eV/f.u.): -0.99
# Spin magnetization (Bohr magnetons per cell): 0.00
# Density (g cm⁻³): 7.4
data_ScCu2Ni
_chemical_formula_sum 'Sc2 Cu4 Ni2'
_space_group_name_H-M_alt 'I -4 m 2'
_space_group_IT_number 119
_space_group_name_Hall 'I -4 -2'
_cell_length_a 3.7135
_cell_length_b 3.7135
_cell_length_c 7.5395
_cell_angle_alpha 90.00
_cell_angle_beta 90.00
_cell_angle_gamma 90.00
loop_
_atom_site_label
_atom_site_type_symbol
_atom_site_fract_x
_atom_site_fract_y
_atom_site_fract_z
Sc1 Sc 0.0000 0.0000 0.0000
Cu1 Cu 0.0000 0.0000 0.5000
Cu2 Cu 0.0000 0.5000 0.7500
Ni1 Ni 0.0000 0.5000 0.2500

=====

# K3Ba GGA-PBEsol optimized geometry
# E_tot (eV per atom): -1.3194
# Energy relative to the elements (eV/f.u.): 0.27
# Spin magnetization (Bohr magnetons per cell): 0.00
# Density (g cm⁻³): 1.6
data_K3Ba
_chemical_formula_sum 'K3 Ba1'
_space_group_name_H-M_alt 'P 4/m m m'
_space_group_IT_number 123
_space_group_name_Hall '-P 4 2'
_cell_length_a 4.3305
_cell_length_b 4.3305
_cell_length_c 14.1431
_cell_angle_alpha 90.00
_cell_angle_beta 90.00
_cell_angle_gamma 90.00
loop_
_atom_site_label
_atom_site_type_symbol
_atom_site_fract_x
_atom_site_fract_y
_atom_site_fract_z
K1 K 0.0000 0.0000 0.0000
K2 K 0.5000 0.5000 0.2541
Ba1 Ba 0.0000 0.0000 0.5000